[1]
# Na3CuO2, relaxed, DFT GGA-PBE
data_Na3CuO2
_cell_length_a 6.7611
_cell_length_b 7.7476
_cell_length_c 7.0315
_cell_angle_alpha 90.00
_cell_angle_beta 90.00
_cell_angle_gamma 90.00
_space_group_name_H-M_alt 'I m m a'
_space_group_IT_number 74
_space_group_name_Hall '-I 2b 2'
loop_
_atom_site_label
_atom_site_fract_x
_atom_site_fract_y
_atom_site_fract_z
Na1 0.0000 0.2500 0.0433
Na2 0.2500 0.0498 0.7500
Cu1 0.0000 0.2500 0.4525
O1 0.0000 0.2500 0.7232
O2 0.2500 0.2500 0.2500
# Formation energy (no corrections) in eV/atom: -0.93
# Relative energy among the computed polymorphs in kJ/mol of atoms: 18.8

[2]
# ZrCdSi2Ni, relaxed, DFT GGA-PBE
data_ZrCdSi2Ni
_cell_length_a 4.8173
_cell_length_b 4.8173
_cell_length_c 4.5612
_cell_angle_alpha 90.00
_cell_angle_beta 90.00
_cell_angle_gamma 90.00
_space_group_name_H-M_alt 'P 4/m m m'
_space_group_IT_number 123
_space_group_name_Hall '-P 4 2'
loop_
_atom_site_label
_atom_site_fract_x
_atom_site_fract_y
_atom_site_fract_z
Zr1 0.0000 0.0000 0.0000
Cd1 0.5000 0.5000 0.5000
Si1 0.0000 0.5000 0.5000
Ni1 0.5000 0.5000 0.0000
# Formation energy (no corrections) in eV/atom: 1.06

[3]
# SbBr5, relaxed, DFT GGA-PBE
data_SbBr5
_cell_length_a 14.4911
_cell_length_b 4.1503
_cell_length_c 10.6791
_cell_angle_alpha 90.00
_cell_angle_beta 127.47
_cell_angle_gamma 90.00
_space_group_name_H-M_alt 'C 1 m 1'
_space_group_IT_number 8
loop_
_space_group_symop_operation_xyz
'x,y,z'
'x,-y,z'
'x+1/2,y+1/2,z'
'x+1/2,-y+1/2,z'
loop_
_atom_site_label
_atom_site_fract_x
_atom_site_fract_y
_atom_site_fract_z
Sb1 0.0000 0.0000 0.0000
Br1 0.0240 0.5000 0.4909
Br2 0.1005 0.5000 0.3484
Br3 0.1787 0.5000 0.1480
Br4 0.3319 0.0000 0.8738
Br5 0.4951 0.5000 0.7598
# Formation energy (no corrections) in eV/atom: -0.36

[4]
# ErLuAs, relaxed, DFT GGA-PBE
data_ErLuAs
_cell_length_a 3.3021
_cell_length_b 3.3021
_cell_length_c 16.2555
_cell_angle_alpha 90.00
_cell_angle_beta 90.00
_cell_angle_gamma 90.00
_space_group_name_H-M_alt 'I 4 m m'
_space_group_IT_number 107
_space_group_name_Hall 'I 4 -2'
loop_
_atom_site_label
_atom_site_fract_x
_atom_site_fract_y
_atom_site_fract_z
Er1 0.0000 0.0000 0.0000
Lu1 0.0000 0.0000 0.6591
As1 0.0000 0.0000 0.8283
# ΔH_f (0 K) in eV/atom: 0.102
# Relative energy among the computed polymorphs in kJ/mol of atoms: 60.1

[5]
# TbPr5Y3, relaxed, DFT GGA-PBE
data_TbPr5Y3
_cell_length_a 12.0053
_cell_length_b 11.5685
_cell_length_c 11.5769
_cell_angle_alpha 90.00
_cell_angle_beta 117.97
_cell_angle_gamma 90.00
_space_group_name_H-M_alt 'C 1 2/m 1'
_space_group_IT_number 12
loop_
_space_group_symop_operation_xyz
'x,y,z'
'-x,-y,-z'
'-x,y,-z'
'x,-y,z'
'x+1/2,y+1/2,z'
'-x+1/2,-y+1/2,-z'
'-x+1/2,y+1/2,-z'
'x+1/2,-y+1/2,z'
loop_
_atom_site_label
_atom_site_fract_x
_atom_site_fract_y
_atom_site_fract_z
Tb1 0.0881 0.0000 0.2941
Pr1 0.0000 0.2644 0.5000
Pr2 0.0070 0.5000 0.8729
Pr3 0.1879 0.5000 0.4210
Pr4 0.1948 0.2415 0.1462
Y1 0.0000 0.0000 0.0000
Y2 0.0000 0.0000 0.5000
Y3 0.1510 0.5000 0.7089
Y4 0.2075 0.0000 0.8655
# ΔH_f (0 K) in eV/atom: 0.550
# Relative energy among the computed polymorphs in kJ/mol of atoms: 36.3

[6]
# Hf2AgHg, relaxed, DFT GGA-PBE
data_Hf2AgHg
_cell_length_a 7.7890
_cell_length_b 7.7890
_cell_length_c 5.8171
_cell_angle_alpha 90.00
_cell_angle_beta 90.00
_cell_angle_gamma 90.00
_space_group_name_H-M_alt 'I -4 2 d'
_space_group_IT_number 122
_space_group_name_Hall 'I -4 2bw'
loop_
_atom_site_label
_atom_site_fract_x
_atom_site_fract_y
_atom_site_fract_z
Hf1 0.2406 0.2500 0.1250
Ag1 0.0000 0.0000 0.0000
Hg1 0.0000 0.0000 0.5000
# ΔH_f (0 K) in eV/atom: 0.404

[7]
# MoAsIrSe2, relaxed, DFT GGA-PBE
data_MoAsIrSe2
_cell_length_a 5.0983
_cell_length_b 5.0983
_cell_length_c 4.5375
_cell_angle_alpha 90.00
_cell_angle_beta 90.00
_cell_angle_gamma 90.00
_space_group_name_H-M_alt 'P 4/m m m'
_space_group_IT_number 123
_space_group_name_Hall '-P 4 2'
loop_
_atom_site_label
_atom_site_fract_x
_atom_site_fract_y
_atom_site_fract_z
Mo1 0.0000 0.0000 0.0000
As1 0.5000 0.5000 0.0000
Ir1 0.5000 0.5000 0.5000
Se1 0.0000 0.5000 0.5000
# Formation energy (no corrections) in eV/atom: 0.99
# Relative energy among the computed polymorphs in kJ/mol of atoms: 0.0

[8]
# AsSeCl2, relaxed, DFT GGA-PBE
data_AsSeCl2
_cell_length_a 3.2752
_cell_length_b 3.2752
_cell_length_c 28.0377
_cell_angle_alpha 90.00
_cell_angle_beta 90.00
_cell_angle_gamma 120.00
_space_group_name_H-M_alt 'R -3 m'
_space_group_IT_number 166
_space_group_name_Hall '-R 3 2"'
loop_
_atom_site_label
_atom_site_fract_x
_atom_site_fract_y
_atom_site_fract_z
As1 0.0000 0.0000 0.0000
Se1 0.0000 0.0000 0.5000
Cl1 0.0000 0.0000 0.4130
# Formation energy (no corrections) in eV/atom: 0.24
# Relative energy among the computed polymorphs in kJ/mol of atoms: 54.9

[9]
# Te2MoCl, relaxed, DFT GGA-PBE
data_Te2MoCl
_cell_length_a 7.8897
_cell_length_b 7.7799
_cell_length_c 3.1658
_cell_angle_alpha 90.00
_cell_angle_beta 105.96
_cell_angle_gamma 90.00
_space_group_name_H-M_alt 'C 1 2/m 1'
_space_group_IT_number 12
loop_
_space_group_symop_operation_xyz
'x,y,z'
'-x,-y,-z'
'-x,y,-z'
'x,-y,z'
'x+1/2,y+1/2,z'
'-x+1/2,-y+1/2,-z'
'-x+1/2,y+1/2,-z'
'x+1/2,-y+1/2,z'
loop_
_atom_site_label
_atom_site_fract_x
_atom_site_fract_y
_atom_site_fract_z
Te1 0.2500 0.2500 0.0000
Mo1 0.0000 0.0000 0.0000
Cl1 0.0000 0.5000 0.0000
# Formation energy (no corrections) in eV/atom: 0.44
# Relative energy among the computed polymorphs in kJ/mol of atoms: 58.7

[10]
# LaSbTe2Mo, relaxed, DFT GGA-PBE
data_LaSbTe2Mo
_cell_length_a 6.0667
_cell_length_b 6.0667
_cell_length_c 6.1008
_cell_angle_alpha 90.00
_cell_angle_beta 90.00
_cell_angle_gamma 90.00
_space_group_name_H-M_alt 'P 4/m m m'
_space_group_IT_number 123
_space_group_name_Hall '-P 4 2'
loop_
_atom_site_label
_atom_site_fract_x
_atom_site_fract_y
_atom_site_fract_z
La1 0.0000 0.0000 0.0000
Sb1 0.0000 0.0000 0.5000
Te1 0.0000 0.5000 0.0000
Mo1 0.5000 0.5000 0.5000
# Formation energy (no corrections) in eV/atom: 0.89
# Relative energy among the computed polymorphs in kJ/mol of atoms: 99.4

[11]
# NaAg4Se2, relaxed, DFT GGA-PBE
data_NaAg4Se2
_cell_length_a 4.6039
_cell_length_b 4.6039
_cell_length_c 23.8733
_cell_angle_alpha 90.00
_cell_angle_beta 90.00
_cell_angle_gamma 120.00
_space_group_name_H-M_alt 'R -3 m'
_space_group_IT_number 166
_space_group_name_Hall '-R 3 2"'
loop_
_atom_site_label
_atom_site_fract_x
_atom_site_fract_y
_atom_site_fract_z
Na1 0.0000 0.0000 0.0000
Ag1 0.0000 0.0000 0.1524
Ag2 0.0000 0.0000 0.4364
Se1 0.0000 0.0000 0.2687
# Formation energy (no corrections) in eV/atom: -0.21
# Relative energy among the computed polymorphs in kJ/mol of atoms: 4.6

[12]
# Ce5GeSb2, relaxed, DFT GGA-PBE
data_Ce5GeSb2
_cell_length_a 12.0182
_cell_length_b 9.4324
_cell_length_c 7.9117
_cell_angle_alpha 90.00
_cell_angle_beta 90.00
_cell_angle_gamma 90.00
_space_group_name_H-M_alt 'P n m a'
_space_group_IT_number 62
loop_
_space_group_symop_operation_xyz
'x,y,z'
'-x,-y,-z'
'-x+1/2,-y,z+1/2'
'x+1/2,y,-z+1/2'
'x+1/2,-y+1/2,-z+1/2'
'-x+1/2,y+1/2,z+1/2'
'-x,y+1/2,-z'
'x,-y+1/2,z'
loop_
_atom_site_label
_atom_site_fract_x
_atom_site_fract_y
_atom_site_fract_z
Ce1 0.0063 0.2500 0.0005
Ce2 0.0548 0.0539 0.6979
Ce3 0.2109 0.7500 0.3533
Ce4 0.2211 0.2500 0.3295
Ge1 0.0297 0.7500 0.6077
Sb1 0.1783 0.5075 0.0698
# Formation energy (no corrections) in eV/atom: -0.77
# Relative energy among the computed polymorphs in kJ/mol of atoms: 0.0

[13]
# BePt5, relaxed, DFT GGA-PBE
data_BePt5
_cell_length_a 7.3545
_cell_length_b 7.3545
_cell_length_c 7.3545
_cell_angle_alpha 90.00
_cell_angle_beta 90.00
_cell_angle_gamma 90.00
_space_group_name_H-M_alt 'F -4 3 m'
_space_group_IT_number 216
_space_group_name_Hall 'F -4 2 3'
loop_
_atom_site_label
_atom_site_fract_x
_atom_site_fract_y
_atom_site_fract_z
Be1 0.0000 0.0000 0.0000
Pt1 0.1250 0.1250 0.6250
Pt2 0.2500 0.2500 0.2500
# ΔH_f (0 K) in eV/atom: 0.317
# Relative energy among the computed polymorphs in kJ/mol of atoms: 59.7

[14]
# CdCu, relaxed, DFT GGA-PBE
data_CdCu
_cell_length_a 10.5909
_cell_length_b 4.5687
_cell_length_c 5.4872
_cell_angle_alpha 90.00
_cell_angle_beta 90.00
_cell_angle_gamma 90.00
_space_group_name_H-M_alt 'P n m a'
_space_group_IT_number 62
loop_
_space_group_symop_operation_xyz
'x,y,z'
'-x,-y,-z'
'-x+1/2,-y,z+1/2'
'x+1/2,y,-z+1/2'
'x+1/2,-y+1/2,-z+1/2'
'-x+1/2,y+1/2,z+1/2'
'-x,y+1/2,-z'
'x,-y+1/2,z'
loop_
_atom_site_label
_atom_site_fract_x
_atom_site_fract_y
_atom_site_fract_z
Cd1 0.0580 0.2500 0.1774
Cd2 0.1686 0.7500 0.4455
Cu1 0.1012 0.2500 0.6917
Cu2 0.1887 0.7500 0.9404
# ΔH_f (0 K) in eV/atom: 0.057

[15]
# RbTb3Sm2Te6, relaxed, DFT GGA-PBE
data_RbTb3Sm2Te6
_cell_length_a 19.6913
_cell_length_b 4.4097
_cell_length_c 9.1959
_cell_angle_alpha 90.00
_cell_angle_beta 104.45
_cell_angle_gamma 90.00
_space_group_name_H-M_alt 'C 1 2/m 1'
_space_group_IT_number 12
loop_
_space_group_symop_operation_xyz
'x,y,z'
'-x,-y,-z'
'-x,y,-z'
'x,-y,z'
'x+1/2,y+1/2,z'
'-x+1/2,-y+1/2,-z'
'-x+1/2,y+1/2,-z'
'x+1/2,-y+1/2,z'
loop_
_atom_site_label
_atom_site_fract_x
_atom_site_fract_y
_atom_site_fract_z
Rb1 0.0000 0.0000 0.0000
Tb1 0.0000 0.0000 0.5000
Tb2 0.1618 0.5000 0.8209
Sm1 0.1722 0.5000 0.3491
Te1 0.0026 0.5000 0.2726
Te2 0.1633 0.0000 0.5877
Te3 0.1765 0.0000 0.0842
# Formation energy (no corrections) in eV/atom: -1.32

[16]
# Ta2TcSb, relaxed, DFT GGA-PBE
data_Ta2TcSb
_cell_length_a 3.3335
_cell_length_b 3.3335
_cell_length_c 6.4982
_cell_angle_alpha 90.00
_cell_angle_beta 90.00
_cell_angle_gamma 90.00
_space_group_name_H-M_alt 'P 4 m m'
_space_group_IT_number 99
loop_
_space_group_symop_operation_xyz
'x,y,z'
'-y,x,z'
'-x,-y,z'
'y,-x,z'
'-x,y,z'
'y,x,z'
'x,-y,z'
'-y,-x,z'
loop_
_atom_site_label
_atom_site_fract_x
_atom_site_fract_y
_atom_site_fract_z
Ta1 0.0000 0.0000 0.0000
Ta2 0.5000 0.5000 0.2658
Tc1 0.0000 0.0000 0.4845
Sb1 0.5000 0.5000 0.7480
# Formation energy (no corrections) in eV/atom: 0.04

[17]
# Pm6In3N, relaxed, DFT GGA-PBE
data_Pm6In3N
_cell_length_a 10.7411
_cell_length_b 10.7411
_cell_length_c 10.7411
_cell_angle_alpha 90.00
_cell_angle_beta 90.00
_cell_angle_gamma 90.00
_space_group_name_H-M_alt 'F m -3 m'
_space_group_IT_number 225
_space_group_name_Hall '-F 4 2 3'
loop_
_atom_site_label
_atom_site_fract_x
_atom_site_fract_y
_atom_site_fract_z
Pm1 0.0000 0.0000 0.2291
In1 0.0000 0.0000 0.5000
In2 0.2500 0.2500 0.2500
N1 0.0000 0.0000 0.0000
# Formation energy (no corrections) in eV/atom: -0.30

[18]
# Nd2Ge3Au9, relaxed, DFT GGA-PBE
data_Nd2Ge3Au9
_cell_length_a 14.1772
_cell_length_b 8.1913
_cell_length_c 10.8982
_cell_angle_alpha 90.00
_cell_angle_beta 116.61
_cell_angle_gamma 90.00
_space_group_name_H-M_alt 'C 1 2/c 1'
_space_group_IT_number 15
loop_
_space_group_symop_operation_xyz
'x,y,z'
'-x,-y,-z'
'-x,y,-z+1/2'
'x,-y,z+1/2'
'x+1/2,y+1/2,z'
'-x+1/2,-y+1/2,-z'
'-x+1/2,y+1/2,-z+1/2'
'x+1/2,-y+1/2,z+1/2'
loop_
_atom_site_label
_atom_site_fract_x
_atom_site_fract_y
_atom_site_fract_z
Nd1 0.1637 0.0838 0.2442
Ge1 0.0849 0.2169 0.4900
Ge2 0.2500 0.2500 0.0000
Au1 0.0000 0.3674 0.2500
Au2 0.0586 0.0943 0.9082
Au3 0.1138 0.4068 0.0742
Au4 0.1146 0.3165 0.7326
Au5 0.2228 0.4148 0.4223
# ΔH_f (0 K) in eV/atom: -0.386

[19]
# GdSnAs2, relaxed, DFT GGA-PBE
data_GdSnAs2
_cell_length_a 3.9054
_cell_length_b 3.9054
_cell_length_c 26.7416
_cell_angle_alpha 90.00
_cell_angle_beta 90.00
_cell_angle_gamma 120.00
_space_group_name_H-M_alt 'R -3 m'
_space_group_IT_number 166
_space_group_name_Hall '-R 3 2"'
loop_
_atom_site_label
_atom_site_fract_x
_atom_site_fract_y
_atom_site_fract_z
Gd1 0.0000 0.0000 0.0000
Sn1 0.0000 0.0000 0.5000
As1 0.0000 0.0000 0.1058
# ΔH_f (0 K) in eV/atom: 0.070
# Relative energy among the computed polymorphs in kJ/mol of atoms: 64.5

[20]
# ReBr3Cl3, relaxed, DFT GGA-PBE
data_ReBr3Cl3
_cell_length_a 11.4012
_cell_length_b 11.4012
_cell_length_c 7.1151
_cell_angle_alpha 90.00
_cell_angle_beta 90.00
_cell_angle_gamma 120.00
_space_group_name_H-M_alt 'R 3 m'
_space_group_IT_number 160
_space_group_name_Hall 'R 3 -2"'
loop_
_atom_site_label
_atom_site_fract_x
_atom_site_fract_y
_atom_site_fract_z
Re1 0.0000 0.0000 0.0000
Br1 0.1920 0.0960 0.2235
Cl1 0.1799 0.0899 0.7939
# Formation energy (no corrections) in eV/atom: -0.27

The calculation returns the following magnetic moment values, one per record and in order: 0.00 0.00 0.00 0.00 0.00 0.00 3.37 0.00 0.00 3.58 0.00 4.99 0.00 0.00 0.00 0.00 0.00 0.00 7.77 0.94 μB per formula unit.